VASP calculation (PBE with a Hubbard U) on a geometry-optimized CdBiW2F structure.

a b c (Å): 4.465 4.465 5.489
angles (deg): 90.00 90.00 90.00
Positions (direct):
Cd (0.000, 0.000, 0.000)
Bi (0.500, 0.500, 0.000)
W (0.000, 0.500, 0.500)
W (0.500, 0.000, 0.500)
F (0.500, 0.500, 0.500)

Results
Total moment: 5.19 μB/f.u.
Symmetry: No. 123
DOS(E_F): 2.343 states/eV per cell
VASP energy: -3.444 eV per atom